SrLiTa2N4 after structural relaxation, computed with GGA-PBE.

Formation energy from raw total energies = -1.07 eV/atom
DOS at the Fermi energy = 0.1106 states/eV/atom
Electronic total energy = -8.64 eV per atom

Cell and atoms, written as CIF:
```
data_SrLiTa2N4
_chemical_formula_sum 'Sr2 Li2 Ta4 N8'
_cell_length_a 3.245
_cell_length_b 5.533
_cell_length_c 10.789
_cell_angle_alpha 90.00
_cell_angle_beta 90.00
_cell_angle_gamma 107.05
_space_group_name_H-M_alt 'P 1'
_space_group_IT_number 1
_space_group_name_Hall 'P 1'
loop_
_atom_site_label
_atom_site_type_symbol
_atom_site_fract_x
_atom_site_fract_y
_atom_site_fract_z
N1 N 0.418 0.836 0.750
N2 N 0.000 0.000 0.500
N3 N 0.000 0.000 0.000
N4 N 0.736 0.472 0.898
N5 N 0.582 0.164 0.250
N6 N 0.736 0.472 0.602
N7 N 0.264 0.528 0.102
N8 N 0.264 0.528 0.398
Ta1 Ta 0.630 0.259 0.055
Ta2 Ta 0.370 0.741 0.945
Ta3 Ta 0.630 0.259 0.445
Ta4 Ta 0.370 0.741 0.555
Sr1 Sr 0.894 0.788 0.250
Sr2 Sr 0.106 0.212 0.750
Li1 Li 0.172 0.344 0.250
Li2 Li 0.828 0.656 0.750
```

---

Sr2LiTcN after structural relaxation, computed with GGA-PBE.

Formation energy from raw total energies = -0.15 eV/atom
DOS at the Fermi energy = 0.6788 states/eV/atom
Electronic total energy = -4.95 eV per atom

Cell and atoms, written as CIF:
```
data_Sr2LiTcN
_chemical_formula_sum 'Sr2 Li1 Tc1 N1'
_cell_length_a 5.506
_cell_length_b 5.506
_cell_length_c 3.892
_cell_angle_alpha 90.00
_cell_angle_beta 90.00
_cell_angle_gamma 90.00
_space_group_name_H-M_alt 'P 1'
_space_group_IT_number 1
_space_group_name_Hall 'P 1'
loop_
_atom_site_label
_atom_site_type_symbol
_atom_site_fract_x
_atom_site_fract_y
_atom_site_fract_z
Li1 Li 0.500 0.500 0.500
N1 N 0.000 0.000 0.000
Tc1 Tc 0.000 0.000 0.500
Sr1 Sr 0.500 0.000 0.000
Sr2 Sr 0.000 0.500 0.000
```